# RbCrN2F | the Alexandria database | PBE+U | relaxed
# SG: P4/mmm (123)
# D(E_F): 0.24 states/eV/atom
# energy above the lowest structure with this stoichiometry: 0.000 eV per atom
# uncorrected energy: -28.28 eV/cell
data_RbCrN2F
_symmetry_space_group_name_H-M 'P 1'
_symmetry_Int_Tables_number 1
_cell_length_a 3.879
_cell_length_b 3.879
_cell_length_c 4.916
_cell_angle_alpha 90.00
_cell_angle_beta 90.00
_cell_angle_gamma 90.00
loop_
_symmetry_equiv_pos_as_xyz
'x,y,z'
loop_
_atom_site_label
_atom_site_type_symbol
_atom_site_fract_x
_atom_site_fract_y
_atom_site_fract_z
_atom_site_occupancy
Cr1 Cr 0.000 0.000 0.000 1
N1 N 0.000 0.500 0.000 1
N2 N 0.500 0.000 0.000 1
Rb1 Rb 0.500 0.500 0.500 1
F1 F 0.000 0.000 0.500 1